[1]
Density functional theory data (GGA-PBE) for a relaxed structure of AsIrPt3.

abc: 4.831 4.831 4.831
angles: 90.00 90.00 90.00
Space group Pm-3m (No. 221)
One atom of each set of equivalent atoms:
As (0.000, 0.000, 0.000) x1
Ir (0.500, 0.500, 0.500) x1
Pt (0.000, 0.500, 0.500) x3

D(E_F) in states/eV/atom: 1.691
Crystal system: cubic
Formation enthalpy at 0 K in eV/f.u.: 6.874


[2]
Density functional theory data (GGA-PBE) for a relaxed structure of Ca2TlCd9.

abc: 6.1138 6.1138 19.0421
angles: 90.00 90.00 120.00
Space group P6_3/mmc (No. 194)
One atom of each set of equivalent atoms:
Ca (0.3333, 0.6667, 0.0377) x4
Tl (0.3333, 0.6667, 0.2500) x2
Cd (0.0000, 0.0000, 0.0000) x2
Cd (0.0000, 0.0000, 0.2500) x2
Cd (0.1701, 0.3401, 0.6222) x12
Cd (0.3333, 0.6667, 0.7500) x2

D(E_F) in states/eV/atom: 0.465
Crystal system: hexagonal
Formation enthalpy at 0 K in eV/f.u.: -1.788


[3]
Density functional theory data (GGA-PBE) for a relaxed structure of Ba3SnPd8.

abc: 5.7281 5.7281 27.4262
angles: 90.00 90.00 120.00
Space group R3m (No. 160, hexagonal axes)
One atom of each set of equivalent atoms:
Ba (0.0000, 0.0000, 0.0000) x3
Ba (0.0000, 0.0000, 0.1284) x3
Ba (0.0000, 0.0000, 0.5126) x3
Sn (0.0000, 0.0000, 0.6438) x3
Pd (0.0000, 0.0000, 0.3142) x3
Pd (0.0000, 0.0000, 0.8151) x3
Pd (0.0015, 0.5007, 0.5674) x9
Pd (0.1678, 0.3356, 0.3962) x9

D(E_F) in states/eV/atom: 0.490
Crystal system: trigonal
Formation enthalpy at 0 K in eV/f.u.: -5.737


[4]
Density functional theory data (GGA-PBE) for a relaxed structure of BaCa2Ag2.

abc: 5.714 5.038 12.189
angles: 90.00 100.40 90.00
Space group P2_1/m (No. 11)
One atom of each set of equivalent atoms:
Ba (0.237, 0.250, 0.233) x2
Ca (0.237, 0.750, 0.492) x2
Ca (0.318, 0.250, 0.894) x2
Ag (0.144, 0.750, 0.016) x2
Ag (0.317, 0.250, 0.638) x2

D(E_F) in states/eV/atom: 0.650
Crystal system: monoclinic
Formation enthalpy at 0 K in eV/f.u.: -1.111


[5]
Density functional theory data (GGA-PBE) for a relaxed structure of Pm5PrPd3.

abc: 12.938 9.666 10.650
angles: 90.00 115.29 90.00
Space group C2/m (No. 12)
One atom of each set of equivalent atoms:
Pm (0.000, 0.199, 0.000) x4
Pm (0.075, 0.000, 0.373) x4
Pm (0.165, 0.300, 0.667) x8
Pm (0.232, 0.500, 0.030) x4
Pr (0.106, 0.500, 0.304) x4
Pd (0.000, 0.500, 0.000) x2
Pd (0.000, 0.500, 0.500) x2
Pd (0.160, 0.000, 0.672) x4
Pd (0.168, 0.000, 0.167) x4

D(E_F) in states/eV/atom: 1.179
Crystal system: monoclinic
Formation enthalpy at 0 K in eV/f.u.: -3.076


[6]
Density functional theory data (GGA-PBE) for a relaxed structure of La2Ge2Ru.

abc: 6.998 6.998 4.647
angles: 90.00 90.00 90.00
Space group P4/mbm (No. 127)
One atom of each set of equivalent atoms:
La (0.177, 0.323, 0.000) x4
Ge (0.132, 0.632, 0.500) x4
Ru (0.000, 0.000, 0.500) x2

D(E_F) in states/eV/atom: 0.234
Crystal system: tetragonal
Formation enthalpy at 0 K in eV/f.u.: -3.111


[7]
Density functional theory data (GGA-PBE) for a relaxed structure of TbGe2Pt3.

abc: 16.683 4.030 10.130
angles: 90.00 106.83 90.00
Space group C2/m (No. 12)
One atom of each set of equivalent atoms:
Tb (0.000, 0.000, 0.000) x2
Tb (0.153, 0.000, 0.690) x4
Ge (0.040, 0.500, 0.779) x4
Ge (0.138, 0.500, 0.450) x4
Ge (0.199, 0.000, 0.131) x4
Pt (0.000, 0.500, 0.500) x2
Pt (0.040, 0.000, 0.329) x4
Pt (0.114, 0.500, 0.188) x4
Pt (0.175, 0.500, 0.955) x4
Pt (0.224, 0.000, 0.386) x4

D(E_F) in states/eV/atom: 0.453
Crystal system: monoclinic
Formation enthalpy at 0 K in eV/f.u.: -5.097


[8]
Density functional theory data (GGA-PBE) for a relaxed structure of AlTeIr3.

abc: 4.836 4.836 4.836
angles: 90.00 90.00 90.00
Space group Pm-3m (No. 221)
One atom of each set of equivalent atoms:
Al (0.000, 0.000, 0.000) x1
Te (0.500, 0.500, 0.500) x1
Ir (0.000, 0.500, 0.500) x3

D(E_F) in states/eV/atom: 1.606
Crystal system: cubic
E_form (uncorrected) in eV/atom: 1.601


[9]
Density functional theory data (GGA-PBE) for a relaxed structure of CsSrCa4.

abc: 10.807 10.807 10.807
angles: 90.00 90.00 90.00
Space group F-43m (No. 216)
One atom of each set of equivalent atoms:
Cs (0.000, 0.000, 0.000) x4
Sr (0.250, 0.250, 0.250) x4
Ca (0.124, 0.124, 0.624) x16

D(E_F) in states/eV/atom: 1.271
Crystal system: cubic
Formation enthalpy at 0 K in eV/f.u.: 0.856


[10]
Density functional theory data (GGA-PBE) for a relaxed structure of PuPaCrN3.

abc: 7.142 3.339 7.272
angles: 90.00 98.44 90.00
Space group P2_1/m (No. 11)
One atom of each set of equivalent atoms:
Pu (0.189, 0.250, 0.160) x2
Pa (0.187, 0.250, 0.648) x2
Cr (0.421, 0.750, 0.909) x2
N (0.135, 0.750, 0.420) x2
N (0.144, 0.750, 0.884) x2
N (0.459, 0.750, 0.179) x2

D(E_F) in states/eV/atom: 1.202
Crystal system: monoclinic
E_form (uncorrected) in eV/atom: -1.066


[11]
Density functional theory data (GGA-PBE) for a relaxed structure of PuMgIr2.

abc: 4.382 4.382 3.682
angles: 90.00 90.00 90.00
Space group P4/mmm (No. 123)
One atom of each set of equivalent atoms:
Pu (0.000, 0.000, 0.000) x1
Mg (0.500, 0.500, 0.000) x1
Ir (0.000, 0.500, 0.500) x2

D(E_F) in states/eV/atom: 1.675
Crystal system: tetragonal
Formation enthalpy at 0 K in eV/f.u.: -1.641


[12]
Density functional theory data (GGA-PBE) for a relaxed structure of Ce3Th3In5.

abc: 5.787 6.523 9.068
angles: 73.84 79.22 87.14
Space group P1 (No. 1)
One atom of each set of equivalent atoms:
Ce (0.000, 0.000, 0.000) x1
Ce (0.027, 0.050, 0.286) x1
Ce (0.560, 0.187, 0.009) x1
Th (0.398, 0.287, 0.507) x1
Th (0.479, 0.642, 0.148) x1
Th (0.975, 0.680, 0.660) x1
In (0.039, 0.480, 0.010) x1
In (0.446, 0.836, 0.786) x1
In (0.509, 0.828, 0.439) x1
In (0.863, 0.180, 0.657) x1
In (0.931, 0.539, 0.339) x1

D(E_F) in states/eV/atom: 1.638
Crystal system: triclinic
Formation enthalpy at 0 K in eV/f.u.: -1.545


[13]
Density functional theory data (GGA-PBE) for a relaxed structure of KLaNi2.

abc: 4.238 4.238 9.746
angles: 90.00 90.00 90.00
Space group I-4m2 (No. 119)
One atom of each set of equivalent atoms:
K (0.000, 0.000, 0.000) x2
La (0.000, 0.500, 0.250) x2
Ni (0.000, 0.000, 0.500) x2
Ni (0.000, 0.500, 0.750) x2

D(E_F) in states/eV/atom: 0.589
Crystal system: tetragonal
Formation enthalpy at 0 K in eV/f.u.: 1.995


[14]
Density functional theory data (GGA-PBE) for a relaxed structure of MgPa2Al9.

abc: 4.273 4.273 12.614
angles: 90.00 90.00 90.00
Space group P4/mmm (No. 123)
One atom of each set of equivalent atoms:
Mg (0.000, 0.000, 0.000) x1
Pa (0.000, 0.000, 0.329) x2
Al (0.000, 0.500, 0.157) x4
Al (0.000, 0.500, 0.500) x2
Al (0.500, 0.500, 0.000) x1
Al (0.500, 0.500, 0.333) x2

D(E_F) in states/eV/atom: 0.775
Crystal system: tetragonal
Formation enthalpy at 0 K in eV/f.u.: -1.887


[15]
Density functional theory data (GGA-PBE) for a relaxed structure of Ba2CoNi.

abc: 4.496 4.496 6.365
angles: 90.00 90.00 90.00
Space group P4mm (No. 99)
One atom of each set of equivalent atoms:
Ba (0.000, 0.000, 0.000) x1
Ba (0.500, 0.500, 0.485) x1
Co (0.000, 0.000, 0.505) x1
Ni (0.500, 0.500, 0.971) x1

D(E_F) in states/eV/atom: 1.726
Crystal system: tetragonal
Formation enthalpy at 0 K in eV/f.u.: 2.550


[16]
Density functional theory data (GGA-PBE) for a relaxed structure of Pm2MnRu3.

abc: 5.4587 5.4587 12.9135
angles: 90.00 90.00 120.00
Space group R-3m (No. 166, hexagonal axes)
One atom of each set of equivalent atoms:
Pm (0.0000, 0.0000, 0.1239) x6
Mn (0.0000, 0.0000, 0.5000) x3
Ru (0.0000, 0.5000, 0.0000) x9

D(E_F) in states/eV/atom: 1.003
Crystal system: trigonal
Formation enthalpy at 0 K in eV/f.u.: -0.998


[17]
Density functional theory data (GGA-PBE) for a relaxed structure of GdPuAlGa.

abc: 7.218 7.218 7.218
angles: 90.00 90.00 90.00
Space group F-43m (No. 216)
One atom of each set of equivalent atoms:
Gd (0.000, 0.000, 0.000) x4
Pu (0.000, 0.000, 0.500) x4
Al (0.250, 0.250, 0.250) x4
Ga (0.250, 0.250, 0.750) x4

D(E_F) in states/eV/atom: 1.910
Crystal system: cubic
Formation enthalpy at 0 K in eV/f.u.: -1.248


[18]
Density functional theory data (GGA-PBE) for a relaxed structure of Pu3TlHg2.

abc: 3.253 3.253 14.412
angles: 90.00 90.00 90.00
Space group P4/mmm (No. 123)
One atom of each set of equivalent atoms:
Pu (0.000, 0.000, 0.000) x1
Pu (0.000, 0.000, 0.329) x2
Tl (0.500, 0.500, 0.500) x1
Hg (0.500, 0.500, 0.165) x2

D(E_F) in states/eV/atom: 2.959
Crystal system: tetragonal
Formation enthalpy at 0 K in eV/f.u.: -0.588


[19]
Density functional theory data (GGA-PBE) for a relaxed structure of Tb3Er2Tm9.

abc: 6.148 8.567 8.625
angles: 79.50 77.27 86.71
Space group P-1 (No. 2)
One atom of each set of equivalent atoms:
Tb (0.000, 0.000, 0.000) x1
Tb (0.253, 0.381, 0.271) x2
Er (0.450, 0.968, 0.700) x2
Tm (0.000, 0.000, 0.500) x1
Tm (0.094, 0.314, 0.694) x2
Tm (0.190, 0.617, 0.896) x2
Tm (0.346, 0.669, 0.493) x2
Tm (0.492, 0.247, 0.916) x2

D(E_F) in states/eV/atom: 1.534
Crystal system: triclinic
Formation enthalpy at 0 K in eV/f.u.: 1.691


[20]
Density functional theory data (GGA-PBE) for a relaxed structure of Ca3YPt.

abc: 5.583 5.583 5.583
angles: 90.00 90.00 90.00
Space group Pm-3m (No. 221)
One atom of each set of equivalent atoms:
Ca (0.000, 0.000, 0.500) x3
Y (0.500, 0.500, 0.500) x1
Pt (0.000, 0.000, 0.000) x1

D(E_F) in states/eV/atom: 0.784
Crystal system: cubic
Formation enthalpy at 0 K in eV/f.u.: -1.345